*one*
CdPPb2: optimized geometry, PBE-GGA.

Unit cell a=7.971 b=5.049 c=4.057 alpha=90.43 beta=58.77 gamma=125.52
Fractional coordinates of all 4 atoms:
1 Pb 0.000 0.000 0.000
2 Pb 0.500 0.000 0.500
3 P 0.500 0.500 0.000
4 Cd 0.000 0.500 0.500

## Properties
total magnetic moment = 0.0 μB per cell
SG = C2/m, No. 12

***

*two*
CdPPb2: optimized geometry, PBE-GGA.

Unit cell a=6.192 b=6.192 c=5.717 alpha=59.74 beta=59.74 gamma=35.30
Fractional coordinates of all 4 atoms:
1 P 0.228 0.228 0.379
2 Pb 0.951 0.951 0.022
3 Pb 0.768 0.768 0.709
4 Cd 0.553 0.553 0.390

## Properties
total magnetic moment = 0.0 μB per cell
SG = Cm, No. 8

***

*three*
CdPPb2: optimized geometry, PBE-GGA.

Unit cell a=3.725 b=3.725 c=7.415 alpha=90.00 beta=90.00 gamma=90.00
Fractional coordinates of all 4 atoms:
1 Pb 0.500 0.500 0.292
2 Pb 0.000 0.000 0.944
3 Cd 0.000 0.000 0.536
4 P 0.500 0.500 0.728

## Properties
total magnetic moment = 0.0 μB per cell
SG = P4mm, No. 99

***

Most stable = *two*

***

*one*
Cd3PPb: optimized geometry, PBE-GGA.

Unit cell a=5.172 b=5.172 c=5.172 alpha=90.00 beta=90.00 gamma=90.00
Fractional coordinates of all 5 atoms:
1 P 0.000 0.000 0.000
2 Cd 0.500 0.000 0.000
3 Cd 0.000 0.500 0.000
4 Cd 0.000 0.000 0.500
5 Pb 0.500 0.500 0.500

## Properties
total magnetic moment = 0.0 μB per cell
SG = Pm-3m, No. 221

***

*two*
Cd3PPb: optimized geometry, PBE-GGA.

Unit cell a=5.632 b=5.632 c=5.632 alpha=90.00 beta=90.00 gamma=90.00
Fractional coordinates of all 5 atoms:
1 Cd 0.000 0.500 0.000
2 Cd 0.000 0.000 0.500
3 Cd 0.500 0.000 0.000
4 P 0.500 0.500 0.500
5 Pb 0.000 0.000 0.000

## Properties
total magnetic moment = 1.7 μB per cell
SG = Pm-3m, No. 221

***

Most stable = *one*

***

*one*
CdPPbS2: optimized geometry, PBE-GGA.

Unit cell a=5.210 b=5.210 c=5.308 alpha=90.00 beta=90.00 gamma=90.00
Fractional coordinates of all 5 atoms:
1 Cd 0.500 0.500 0.500
2 P 0.000 0.000 0.500
3 Pb 0.000 0.000 0.000
4 S 0.500 0.000 0.000
5 S 0.000 0.500 0.000

## Properties
total magnetic moment = 1.7 μB per cell
SG = P4/mmm, No. 123

***

*two*
CdPPbS2: optimized geometry, PBE-GGA.

Unit cell a=5.272 b=5.272 c=5.054 alpha=90.00 beta=90.00 gamma=90.00
Fractional coordinates of all 5 atoms:
1 Pb 0.500 0.500 0.500
2 S 0.500 0.000 0.000
3 S 0.000 0.500 0.000
4 Cd 0.000 0.000 0.000
5 P 0.000 0.000 0.500

## Properties
total magnetic moment = 1.6 μB per cell
SG = P4/mmm, No. 123

***

Most stable = *two*

***

*one*
Cd3PPd: optimized geometry, PBE-GGA.

Unit cell a=5.001 b=5.001 c=5.001 alpha=90.00 beta=90.00 gamma=90.00
Fractional coordinates of all 5 atoms:
1 Cd 0.000 0.500 0.000
2 Cd 0.500 0.000 0.000
3 Cd 0.000 0.000 0.500
4 P 0.000 0.000 0.000
5 Pd 0.500 0.500 0.500

## Properties
total magnetic moment = 0.0 μB per cell
SG = Pm-3m, No. 221

***

*two*
Cd3PPd: optimized geometry, PBE-GGA.

Unit cell a=5.094 b=5.094 c=5.094 alpha=90.00 beta=90.00 gamma=90.00
Fractional coordinates of all 5 atoms:
1 Pd 0.000 0.000 0.000
2 Cd 0.500 0.000 0.000
3 Cd 0.000 0.500 0.000
4 Cd 0.000 0.000 0.500
5 P 0.500 0.500 0.500

## Properties
total magnetic moment = 0.0 μB per cell
SG = Pm-3m, No. 221

***

Most stable = *two*

***

*one*
CdP2Pd2: optimized geometry, PBE-GGA.

Unit cell a=3.546 b=3.546 c=7.072 alpha=75.48 beta=75.48 gamma=90.00
Fractional coordinates of all 5 atoms:
1 Pd 0.609 0.609 0.783
2 Pd 0.391 0.391 0.217
3 P 0.750 0.250 0.500
4 P 0.250 0.750 0.500
5 Cd 0.000 0.000 0.000

## Properties
total magnetic moment = 0.0 μB per cell
SG = I4/mmm, No. 139

***

*two*
CdP2Pd2: optimized geometry, PBE-GGA.

Unit cell a=7.585 b=7.585 c=2.858 alpha=90.00 beta=90.00 gamma=90.00
Fractional coordinates of all 10 atoms:
1 Pd 0.169 0.669 0.500
2 Pd 0.831 0.331 0.500
3 Pd 0.331 0.169 0.500
4 Pd 0.669 0.831 0.500
5 P 0.132 0.368 0.000
6 P 0.368 0.868 0.000
7 P 0.632 0.132 0.000
8 P 0.868 0.632 0.000
9 Cd 0.000 0.000 0.000
10 Cd 0.500 0.500 0.000

## Properties
total magnetic moment = 0.0 μB per cell
SG = P4/mbm, No. 127

***

Most stable = *one*

***

*one*
CdPPd4: optimized geometry, PBE-GGA.

Unit cell a=3.940 b=3.940 c=6.885 alpha=90.00 beta=90.00 gamma=90.00
Fractional coordinates of all 6 atoms:
1 Pd 0.000 0.500 0.704
2 Pd 0.000 0.500 0.296
3 Pd 0.500 0.000 0.704
4 Pd 0.500 0.000 0.296
5 Cd 0.000 0.000 0.000
6 P 0.500 0.500 0.500

## Properties
total magnetic moment = 0.0 μB per cell
SG = P4/mmm, No. 123

***

*two*
CdPPd4: optimized geometry, PBE-GGA.

Unit cell a=4.467 b=8.476 c=5.912 alpha=90.00 beta=90.00 gamma=105.28
Fractional coordinates of all 12 atoms:
1 Pd 0.798 0.597 0.518
2 Pd 0.355 0.711 0.250
3 Pd 0.000 0.000 0.500
4 Pd 0.000 0.000 0.000
5 Pd 0.202 0.403 0.482
6 Pd 0.645 0.289 0.750
7 Pd 0.202 0.403 0.018
8 Pd 0.798 0.597 0.982
9 P 0.105 0.210 0.750
10 P 0.895 0.790 0.250
11 Cd 0.621 0.243 0.250
12 Cd 0.379 0.757 0.750

## Properties
total magnetic moment = 0.0 μB per cell
SG = Cmcm, No. 63

***

Most stable = *one*

***

*one*
CdP2PdS: optimized geometry, PBE-GGA.

Unit cell a=4.912 b=4.912 c=4.916 alpha=90.00 beta=90.00 gamma=90.00
Fractional coordinates of all 5 atoms:
1 P 0.500 0.000 0.000
2 P 0.000 0.500 0.000
3 S 0.000 0.000 0.500
4 Cd 0.000 0.000 0.000
5 Pd 0.500 0.500 0.500

## Properties
total magnetic moment = 0.0 μB per cell
SG = P4/mmm, No. 123

***

*two*
CdP2PdS: optimized geometry, PBE-GGA.

Unit cell a=4.611 b=4.611 c=5.078 alpha=90.00 beta=90.00 gamma=90.00
Fractional coordinates of all 5 atoms:
1 P 0.000 0.500 0.000
2 P 0.500 0.000 0.000
3 S 0.000 0.000 0.500
4 Pd 0.000 0.000 0.000
5 Cd 0.500 0.500 0.500

## Properties
total magnetic moment = 1.2 μB per cell
SG = P4/mmm, No. 123

***

Most stable = *two*

***

*one*
CdPPt: optimized geometry, PBE-GGA.

Unit cell a=4.551 b=2.893 c=4.806 alpha=90.00 beta=96.82 gamma=90.00
Fractional coordinates of all 3 atoms:
1 Pt 0.181 0.000 0.933
2 Cd 0.294 0.500 0.428
3 P 0.675 0.000 0.842

## Properties
total magnetic moment = 0.0 μB per cell
SG = Pm, No. 6

***

*two*
CdPPt: optimized geometry, PBE-GGA.

Unit cell a=5.516 b=5.516 c=3.266 alpha=72.78 beta=72.78 gamma=34.44
Fractional coordinates of all 3 atoms:
1 P 0.703 0.703 0.297
2 Pt 0.300 0.300 0.700
3 Cd 0.997 0.997 0.003

## Properties
total magnetic moment = 0.0 μB per cell
SG = I4mm, No. 107

***

Most stable = *two*